[1]
Sm5Dy4In: relaxed, PBE-GGA.

Results
ΔE to the lowest computed polymorph, meV/atom: 0.0

abc: 4.166 4.166 18.276
angles: 90.00 90.00 90.00
Atoms (fractional coordinates):
Sm 0.500 0.500 0.296
Sm 0.500 0.500 0.704
Sm 0.500 0.500 0.910
Sm 0.500 0.500 0.090
Sm 0.500 0.500 0.500
Dy 0.000 0.000 0.804
Dy 0.000 0.000 0.602
Dy 0.000 0.000 0.398
Dy 0.000 0.000 0.196
In 0.000 0.000 0.000

=====

[2]
Sm4Dy7In: relaxed, PBE-GGA.

abc: 5.857 11.632 6.750
angles: 80.70 64.29 75.42
Atoms (fractional coordinates):
In 0.000 0.000 0.000
Sm 0.165 0.367 0.302
Sm 0.835 0.633 0.698
Sm 0.371 0.769 0.489
Sm 0.629 0.231 0.511
Dy 0.799 0.922 0.479
Dy 0.096 0.723 0.085
Dy 0.368 0.482 0.782
Dy 0.904 0.277 0.915
Dy 0.500 0.000 0.000
Dy 0.201 0.078 0.521
Dy 0.632 0.518 0.218

=====

[3]
Sm15DyIn4: relaxed, PBE-GGA.

abc: 4.938 4.938 25.138
angles: 90.00 90.00 90.00
Atoms (fractional coordinates):
Sm 0.000 0.500 0.105
Sm 0.500 0.000 0.303
Sm 0.500 0.000 0.895
Sm 0.500 0.000 0.105
Sm 0.500 0.500 0.796
Sm 0.500 0.500 0.000
Sm 0.500 0.500 0.599
Sm 0.000 0.500 0.895
Sm 0.500 0.000 0.697
Sm 0.000 0.500 0.697
Sm 0.500 0.500 0.204
Sm 0.000 0.500 0.500
Sm 0.500 0.500 0.401
Sm 0.500 0.000 0.500
Sm 0.000 0.500 0.303
In 0.000 0.000 0.205
In 0.000 0.000 0.598
In 0.000 0.000 0.402
In 0.000 0.000 0.795
Dy 0.000 0.000 0.000

=====

[4]
Sm5Dy2In5: relaxed, PBE-GGA.

abc: 5.232 6.411 12.114
angles: 107.73 90.00 114.08
Atoms (fractional coordinates):
Sm 0.346 0.691 0.999
Sm 0.654 0.309 0.001
Sm 0.365 0.730 0.725
Sm 0.635 0.270 0.275
Sm 0.500 0.000 0.500
In 0.270 0.540 0.230
In 0.730 0.460 0.770
In 0.171 0.342 0.462
In 0.000 0.000 0.000
In 0.829 0.658 0.538
Dy 0.929 0.859 0.242
Dy 0.071 0.141 0.758

=====

[5]
Sm2Dy2In3: relaxed, PBE-GGA.

Results
ΔE to the lowest computed polymorph, meV/atom: 0.0

abc: 3.639 7.791 8.358
angles: 117.29 90.00 103.51
Atoms (fractional coordinates):
In 0.419 0.838 0.549
In 0.581 0.162 0.451
In 0.500 0.000 0.000
Sm 0.871 0.742 0.180
Sm 0.129 0.258 0.820
Dy 0.186 0.373 0.283
Dy 0.814 0.627 0.717

=====

[6]
Sm4Dy2In: relaxed, PBE-GGA.

Results
ΔE to the lowest computed polymorph, meV/atom: 24.6

abc: 3.647 3.647 19.733
angles: 84.70 84.70 60.00
Atoms (fractional coordinates):
Sm 0.906 0.906 0.282
Sm 0.094 0.094 0.718
Sm 0.290 0.290 0.130
Sm 0.710 0.710 0.870
Dy 0.190 0.190 0.429
Dy 0.810 0.810 0.571
In 0.000 0.000 0.000

=====

[7]
Sm6Dy8In: relaxed, PBE-GGA.

abc: 6.406 9.385 9.385
angles: 120.00 90.00 90.00
Atoms (fractional coordinates):
Dy 0.814 0.226 0.961
Dy 0.162 0.667 0.333
Dy 0.186 0.774 0.039
Dy 0.186 0.961 0.735
Dy 0.814 0.735 0.774
Dy 0.838 0.333 0.667
Dy 0.814 0.039 0.265
Dy 0.186 0.265 0.226
Sm 0.321 0.551 0.642
Sm 0.321 0.091 0.449
Sm 0.679 0.449 0.358
Sm 0.679 0.909 0.551
Sm 0.321 0.358 0.909
Sm 0.679 0.642 0.091
In 0.500 0.000 0.000

=====

[8]
Sm5DyIn3: relaxed, PBE-GGA.

abc: 6.835 9.505 9.502
angles: 120.01 90.00 90.00
Each line ends with the local moment (μB).
Atoms (fractional coordinates):
In 0.250 0.329 0.000  0.00
In 0.250 0.000 0.329  0.00
In 0.250 0.671 0.671  0.00
In 0.750 0.329 0.329  0.00
In 0.750 0.671 0.000  0.00
In 0.750 0.000 0.671  0.00
Sm 0.750 0.665 0.665  0.06
Sm 0.750 0.335 0.000  0.06
Sm 0.500 0.333 0.667  0.11
Sm 0.500 0.667 0.333  0.11
Sm 0.250 0.665 0.000  0.06
Sm 0.750 0.000 0.335  0.06
Sm 0.250 0.000 0.665  0.06
Sm 0.250 0.335 0.335  0.06
Sm 0.000 0.333 0.667  0.11
Sm 0.000 0.667 0.333  0.11
Dy 0.000 0.000 0.000  0.10
Dy 0.500 0.000 0.000  0.10

=====

[9]
SmDy12In3: relaxed, PBE-GGA.

abc: 4.861 4.861 19.827
angles: 90.00 90.00 90.00
Atoms (fractional coordinates):
Dy 0.000 0.500 0.377
Dy 0.500 0.500 0.744
Dy 0.500 0.500 0.000
Dy 0.500 0.000 0.377
Dy 0.500 0.000 0.868
Dy 0.000 0.500 0.132
Dy 0.500 0.500 0.500
Dy 0.500 0.000 0.132
Dy 0.000 0.500 0.623
Dy 0.500 0.500 0.256
Dy 0.500 0.000 0.623
Dy 0.000 0.500 0.868
In 0.000 0.000 0.500
In 0.000 0.000 0.257
In 0.000 0.000 0.743
Sm 0.000 0.000 0.000

=====

[10]
SmDyInSn: relaxed, PBE-GGA.

Results
ΔE to the lowest computed polymorph, meV/atom: 101.8

abc: 5.382 5.382 5.382
angles: 60.00 60.00 60.00
Atoms (fractional coordinates):
In 0.750 0.750 0.750
Dy 0.500 0.500 0.500
Sn 0.250 0.250 0.250
Sm 0.000 0.000 0.000

=====

[11]
SmDyInSn: relaxed, PBE-GGA.

Results
ΔE to the lowest computed polymorph, meV/atom: 0.0

abc: 4.595 4.347 6.211
angles: 90.00 111.71 90.00
Atoms (fractional coordinates):
In 0.413 0.000 0.826
Sn 0.587 0.500 0.174
Sm 0.863 0.500 0.727
Dy 0.137 0.000 0.273

=====

[12]
Tb5SmDy2In: relaxed, PBE-GGA.

abc: 5.398 10.388 10.590
angles: 90.00 90.00 105.06
Atoms (fractional coordinates):
Dy 0.116 0.232 0.301
Dy 0.116 0.232 0.715
Dy 0.884 0.768 0.215
Dy 0.884 0.768 0.801
Tb 0.290 0.581 0.709
Tb 0.290 0.580 0.308
Tb 0.385 0.770 0.008
Tb 0.615 0.230 0.508
Tb 0.013 0.026 0.008
Tb 0.500 0.000 0.258
Tb 0.987 0.974 0.508
Tb 0.710 0.420 0.808
Tb 0.710 0.419 0.209
Tb 0.500 0.000 0.758
Sm 0.793 0.586 0.508
Sm 0.207 0.414 0.008
In 0.595 0.190 0.008
In 0.405 0.810 0.508

=====

Formation enthalpy at 0 K readings, ordered: 4, 178, -208, -314, -351, -70, 73, -348, -190, -515, -617, -6 meV per atom